A plane-wave DFT calculation with PBE-GGA was carried out for a geometry-optimized Ba2BeW structure.

Properties
Energy of formation ... 7.23 eV/f.u.
Size of the total moment ... 0.2 μB per formula unit

Lattice parameters (Å, degrees): 4.4322 4.4322 22.0802 90.00 90.00 90.00
With the nearest neighbours (Å) after each atom.
Space group I-42d (No. 122)
Symmetry-distinct sites (fractional):
Ba1 0.2501 0.2500 0.1250 x8  4 Ba 3.13, 2 W 3.17, 2 Be 3.17
Be1 0.0000 0.0000 0.0000 x4  4 W 3.13, 4 Ba 3.17
W1 0.0000 0.0000 0.5000 x4  4 Be 3.13, 4 Ba 3.17